# NdSiPt3 | the Alexandria database | PBE-GGA | optimized geometry
data_NdSiPt3
_chemical_formula_sum 'Nd2 Si2 Pt6'
_symmetry_space_group_name_H-M 'I 4 m m'
_symmetry_Int_Tables_number 107
_symmetry_space_group_name_Hall 'I 4 -2'
_cell_length_a 4.097
_cell_length_b 4.097
_cell_length_c 11.020
_cell_angle_alpha 90.00
_cell_angle_beta 90.00
_cell_angle_gamma 90.00
loop_
_atom_site_label
_atom_site_type_symbol
_atom_site_fract_x
_atom_site_fract_y
_atom_site_fract_z
_atom_site_occupancy
Nd1 Nd 0.000 0.000 0.000 1
Si1 Si 0.000 0.000 0.373 1
Pt1 Pt 0.000 0.000 0.582 1
Pt2 Pt 0.000 0.500 0.257 1
# Crystal system: tetragonal
# Energy above the most stable polymorph in this dataset: 0 kJ/mol of formula units
# Formation energy from raw total energies: -5.4 eV per formula unit


# TbZnH | the Alexandria database | PBE-GGA | optimized geometry
data_TbZnH
_chemical_formula_sum 'Tb2 Zn2 H2'
_symmetry_space_group_name_H-M 'P 1 21/m 1'
_symmetry_Int_Tables_number 11
_cell_length_a 4.425
_cell_length_b 3.975
_cell_length_c 6.067
_cell_angle_alpha 90.00
_cell_angle_beta 110.95
_cell_angle_gamma 90.00
loop_
_symmetry_equiv_pos_as_xyz
'x,y,z'
'-x,-y,-z'
'-x,y+1/2,-z'
'x,-y+1/2,z'
loop_
_atom_site_label
_atom_site_type_symbol
_atom_site_fract_x
_atom_site_fract_y
_atom_site_fract_z
_atom_site_occupancy
Tb1 Tb 0.152 0.250 0.277 1
Zn1 Zn 0.415 0.250 0.840 1
H1 H 0.022 0.250 0.881 1
# Crystal system: monoclinic
# Energy above the most stable polymorph in this dataset: 0 kJ/mol of formula units


# TiCo2Os | the Alexandria database | PBE-GGA | optimized geometry
data_TiCo2Os
_chemical_formula_sum 'Ti4 Co8 Os4'
_symmetry_space_group_name_H-M 'F m -3 m'
_symmetry_Int_Tables_number 225
_symmetry_space_group_name_Hall '-F 4 2 3'
_cell_length_a 5.930
_cell_length_b 5.930
_cell_length_c 5.930
_cell_angle_alpha 90.00
_cell_angle_beta 90.00
_cell_angle_gamma 90.00
loop_
_atom_site_label
_atom_site_type_symbol
_atom_site_fract_x
_atom_site_fract_y
_atom_site_fract_z
_atom_site_occupancy
Ti1 Ti 0.000 0.000 0.000 1
Co1 Co 0.250 0.250 0.250 1
Os1 Os 0.000 0.000 0.500 1
# Crystal system: cubic
# Energy of formation: -0.055 eV/atom
# Energy above the most stable polymorph in this dataset: 61 kJ/mol of formula units


# GaAgPd3 | the Alexandria database | PBE-GGA | optimized geometry
data_GaAgPd3
_chemical_formula_sum 'Ga1 Ag1 Pd3'
_symmetry_space_group_name_H-M 'P m -3 m'
_symmetry_Int_Tables_number 221
_symmetry_space_group_name_Hall '-P 4 2 3'
_cell_length_a 4.933
_cell_length_b 4.933
_cell_length_c 4.933
_cell_angle_alpha 90.00
_cell_angle_beta 90.00
_cell_angle_gamma 90.00
loop_
_atom_site_label
_atom_site_type_symbol
_atom_site_fract_x
_atom_site_fract_y
_atom_site_fract_z
_atom_site_occupancy
Ga1 Ga 0.000 0.000 0.000 1
Ag1 Ag 0.500 0.500 0.500 1
Pd1 Pd 0.000 0.500 0.500 1
# Crystal system: cubic
# Energy of formation: 0.929 eV/atom
# Energy above the most stable polymorph in this dataset: 483 kJ/mol of formula units


# Pm5Ga2Rh | the Alexandria database | PBE-GGA | optimized geometry
data_Pm5Ga2Rh
_chemical_formula_sum 'Pm10 Ga4 Rh2'
_symmetry_space_group_name_H-M 'P b a m'
_symmetry_Int_Tables_number 55
_cell_length_a 7.620
_cell_length_b 12.167
_cell_length_c 4.713
_cell_angle_alpha 90.00
_cell_angle_beta 90.00
_cell_angle_gamma 90.00
loop_
_symmetry_equiv_pos_as_xyz
'x,y,z'
'-x,-y,-z'
'-x,-y,z'
'x,y,-z'
'x+1/2,-y+1/2,-z'
'-x+1/2,y+1/2,z'
'-x+1/2,y+1/2,-z'
'x+1/2,-y+1/2,z'
loop_
_atom_site_label
_atom_site_type_symbol
_atom_site_fract_x
_atom_site_fract_y
_atom_site_fract_z
_atom_site_occupancy
Pm1 Pm 0.000 0.000 0.000 1
Pm2 Pm 0.142 0.291 0.000 1
Pm3 Pm 0.186 0.580 0.500 1
Ga1 Ga 0.074 0.834 0.500 1
Rh1 Rh 0.000 0.500 0.000 1
# Crystal system: orthorhombic
# Energy of formation: -0.512 eV/atom


# Fe2NiSe | the Alexandria database | PBE-GGA | optimized geometry
data_Fe2NiSe
_chemical_formula_sum 'Fe2 Ni1 Se1'
_symmetry_space_group_name_H-M 'P 1 2/m 1'
_symmetry_Int_Tables_number 10
_cell_length_a 2.764
_cell_length_b 3.766
_cell_length_c 5.085
_cell_angle_alpha 90.00
_cell_angle_beta 98.83
_cell_angle_gamma 90.00
loop_
_symmetry_equiv_pos_as_xyz
'x,y,z'
'-x,-y,-z'
'-x,y,-z'
'x,-y,z'
loop_
_atom_site_label
_atom_site_type_symbol
_atom_site_fract_x
_atom_site_fract_y
_atom_site_fract_z
_atom_site_occupancy
Fe1 Fe 0.045 0.000 0.240 1
Ni1 Ni 0.500 0.500 0.000 1
Se1 Se 0.500 0.500 0.500 1
# Crystal system: monoclinic
# Formation energy from raw total energies: 0.8 eV per formula unit


Number 1: total moment 0.00 μB/f.u.. Number 2: total moment 0.00 μB/f.u.. Number 3: total moment 3.54 μB/f.u.. Number 4: total moment 0.00 μB/f.u.. Number 5: total moment 0.00 μB/f.u.. Number 6: total moment 5.88 μB/f.u..